Entry one
Computed, not measured: a geometry-optimized LaTa2Ir structure at the GGA-PBE level of DFT.

Cell: 2.9799 3.7592 7.6049 Å, 90.00 90.00 90.00°
Last column: nearest neighbours and their distance in Å.
Positions (direct):
La 0.0000 0.0000 0.0000  2 La 2.98
Ta 0.5000 0.5000 0.3208  3 Ta 2.73-2.98, 4 Ir 2.76
Ta 0.5000 0.5000 0.6792  3 Ta 2.73-2.98, 4 Ir 2.76
Ir 0.0000 0.0000 0.5000  8 Ta 2.76, 2 Ir 2.98

* crystal system: orthorhombic
* space group: No. 47
* total magnetic moment: 0.0 μB/cell



Entry two
Computed, not measured: a geometry-optimized LaTa2Ir structure at the GGA-PBE level of DFT.

Cell: 10.4568 10.4568 10.4568 Å, 16.42 16.42 16.42°
Last column: nearest neighbours and their distance in Å.
Positions (direct):
La 0.0000 0.0000 0.0000  6 La 2.99
Ta 0.2378 0.2378 0.2378  3 Ir 2.80, 6 Ta 2.99
Ta 0.7622 0.7622 0.7622  3 Ir 2.80, 6 Ta 2.99
Ir 0.5000 0.5000 0.5000  6 Ta 2.80, 6 Ir 2.99

* crystal system: trigonal
* space group: No. 166
* total magnetic moment: 0.0 μB/cell



Stability ranking, top and bottom: entry one is the most stable and entry two is the least stable.



Entry one
Computed, not measured: a geometry-optimized La2TaIr structure at the GGA-PBE level of DFT.

Cell: 3.1901 4.9823 5.7890 Å, 90.00 100.54 90.00°
Last column: nearest neighbours and their distance in Å.
Positions (direct):
La 0.2050 0.0000 0.2581  2 Ir 2.99, 5 La 3.03-3.30, 2 Ta 3.14
La 0.7950 0.0000 0.7419  2 Ir 2.99, 5 La 3.03-3.30, 2 Ta 3.14
Ta 0.5000 0.5000 0.0000  2 Ir 3.04, 4 La 3.14, 2 Ta 3.19
Ir 0.0000 0.5000 0.5000  4 La 2.99, 2 Ta 3.04, 2 Ir 3.19

* crystal system: monoclinic
* space group: No. 10
* total magnetic moment: 0.0 μB/cell



Entry two
Computed, not measured: a geometry-optimized La2TaIr structure at the GGA-PBE level of DFT.

Cell: 9.2442 9.2442 9.2442 Å, 23.00 23.00 23.00°
Last column: nearest neighbours and their distance in Å.
Positions (direct):
La 0.2374 0.2374 0.2374  3 Ir 2.86
La 0.7626 0.7626 0.7626  3 Ir 2.86
Ta 0.0000 0.0000 0.0000  6 La 3.35, 6 Ta 3.69
Ir 0.5000 0.5000 0.5000  6 La 2.86

* crystal system: trigonal
* space group: No. 166
* total magnetic moment: 0.0 μB/cell



Stability ranking, top and bottom: entry one is the most stable and entry two is the least stable.